{
  "formula": "LaBeTl2",
  "functional": "GGA-PBE",
  "state": "optimized geometry",
  "mass_density_g_cm3": 9.0,
  "m_tot_mub_per_atom": 0.0000,
  "n_ef_per_ev_cell": 4.31,
  "polymorph_energy_mev_per_atom": 189.2,
  "space_group": "No. 216",
  "e_tot_ev_per_cell": -12.7,
  "formation_energy_kj_per_mol_atoms": 16.9,
  "cell": [[5.254, 0.000, 0.000], [2.627, 4.550, 0.000], [2.627, 1.517, 4.290]],
  "species": ["Tl", "Tl", "Be", "La"],
  "fractional_positions": [[0.250, 0.250, 0.250], [0.000, 0.000, 0.000], [0.500, 0.500, 0.500], [0.750, 0.750, 0.750]]
}

{
  "formula": "CrInRh4",
  "functional": "GGA-PBE",
  "state": "optimized geometry",
  "mass_density_g_cm3": 9.9,
  "m_tot_mub_per_atom": 0.5557,
  "n_ef_per_ev_cell": 9.41,
  "space_group": "No. 216",
  "e_tot_ev_per_cell": -41.0,
  "formation_energy_kj_per_mol_atoms": 12.5,
  "cell": [[0.493, -5.082, -0.750], [1.618, -3.031, 3.850], [-3.286, -3.273, 2.262]],
  "species": ["Cr", "Rh", "Rh", "Rh", "Rh", "In"],
  "fractional_positions": [[0.750, 0.750, 0.750], [0.375, 0.375, 0.875], [0.375, 0.875, 0.375], [0.875, 0.375, 0.375], [0.375, 0.375, 0.375], [0.000, 0.000, 0.000]]
}

{
  "formula": "GaPO2",
  "functional": "GGA-PBE",
  "state": "optimized geometry",
  "mass_density_g_cm3": 5.0,
  "m_tot_mub_per_atom": 0.0000,
  "n_ef_per_ev_cell": 1.75,
  "raw_formation_energy_ev_per_atom": 0.11,
  "polymorph_energy_mev_per_atom": 1229.6,
  "space_group": "No. 225",
  "e_tot_ev_per_cell": -17.9,
  "cell": [[0.000, 2.801, 2.801], [2.801, 0.000, 2.801], [2.801, 2.801, 0.000]],
  "species": ["O", "O", "P", "Ga"],
  "fractional_positions": [[0.750, 0.750, 0.750], [0.250, 0.250, 0.250], [0.000, 0.000, 0.000], [0.500, 0.500, 0.500]]
}

{
  "formula": "TlInBr2",
  "functional": "GGA-PBE",
  "state": "optimized geometry",
  "mass_density_g_cm3": 5.2,
  "m_tot_mub_per_atom": 0.0000,
  "n_ef_per_ev_cell": 0.00,
  "raw_formation_energy_ev_per_atom": -0.75,
  "polymorph_energy_mev_per_atom": 0.3,
  "space_group": "No. 12",
  "e_tot_ev_per_cell": -11.5,
  "cell": [[4.751, -0.027, 0.029], [2.396, 4.103, 0.029], [2.347, 1.338, 7.769]],
  "species": ["Br", "Br", "Tl", "In"],
  "fractional_positions": [[0.001, 0.001, 0.997], [0.499, 0.499, 0.503], [0.250, 0.250, 0.250], [0.750, 0.750, 0.750]]
}

{
  "formula": "MnCr2Ru",
  "functional": "GGA-PBE",
  "state": "optimized geometry",
  "mass_density_g_cm3": 8.5,
  "m_tot_mub_per_atom": 0.6861,
  "n_ef_per_ev_cell": 4.00,
  "polymorph_energy_mev_per_atom": 0.0,
  "space_group": "No. 99",
  "e_tot_ev_per_cell": -37.4,
  "formation_energy_kj_per_mol_atoms": 6.3,
  "cell": [[2.933, 0.000, 0.000], [0.000, 2.933, 0.000], [0.000, 0.000, 5.876]],
  "species": ["Ru", "Cr", "Cr", "Mn"],
  "fractional_positions": [[0.500, 0.500, 0.757], [0.500, 0.500, 0.250], [0.000, 0.000, 0.012], [0.000, 0.000, 0.480]]
}

{
  "formula": "Pr2ScOs2N6",
  "functional": "GGA-PBE",
  "state": "optimized geometry",
  "mass_density_g_cm3": 8.0,
  "m_tot_mub_per_atom": 0.0000,
  "n_ef_per_ev_cell": 4.97,
  "raw_formation_energy_ev_per_atom": -0.48,
  "space_group": "No. 166",
  "e_tot_ev_per_cell": -93.6,
  "cell": [[5.703, 0.000, 0.000], [2.852, 4.939, 0.000], [2.852, 1.646, 5.801]],
  "species": ["N", "N", "N", "N", "N", "N", "Pr", "Pr", "Sc", "Os", "Os"],
  "fractional_positions": [[0.775, 0.252, 0.721], [0.748, 0.225, 0.279], [0.252, 0.775, 0.721], [0.252, 0.252, 0.721], [0.748, 0.748, 0.279], [0.225, 0.748, 0.279], [0.209, 0.209, 0.372], [0.791, 0.791, 0.628], [0.000, 0.000, 0.000], [0.394, 0.394, 0.818], [0.606, 0.606, 0.182]]
}

Number 6 is which compound? Pr2ScOs2N6